Entry from Alexandria via LeMat-Bulk: an optimized crystal structure of Cd3AuO (PBE).

Properties
As for the space group: Pm-3m (221). The value obtained for the distance to the lowest polymorph of the same formula is 0 meV/atom. For the density of states at the Fermi level, the calculation gives 1.24 states/eV/cell.

Cell lengths 4.5936, 4.5936, 4.5936 Å; angles 90.00, 90.00, 90.00 degrees
Last column: nearest neighbours and their distance in Å.
Positions (direct):
Cd: 0.5000 0.0000 0.0000  2 O 2.30
Cd: 0.0000 0.0000 0.5000  2 O 2.30
Cd: 0.0000 0.5000 0.0000  2 O 2.30
O: 0.0000 0.0000 0.0000  6 Cd 2.30
Au: 0.5000 0.5000 0.5000  12 Cd 3.25

Entry from Alexandria via LeMat-Bulk: an optimized crystal structure of Cd3AuO (PBE).

Properties
As for the space group: Pm-3m (221). The value obtained for the distance to the lowest polymorph of the same formula is 679 meV/atom. For the density of states at the Fermi level, the calculation gives 6.06 states/eV/cell.

Cell lengths 5.2489, 5.2489, 5.2489 Å; angles 90.00, 90.00, 90.00 degrees
Last column: nearest neighbours and their distance in Å.
Positions (direct):
Cd: 0.5000 0.0000 0.0000  2 Au 2.62
Cd: 0.0000 0.0000 0.5000  2 Au 2.62
Cd: 0.0000 0.5000 0.0000  2 Au 2.62
O: 0.5000 0.5000 0.5000  12 Cd 3.71
Au: 0.0000 0.0000 0.0000  6 Cd 2.62

Entry from Alexandria via LeMat-Bulk: an optimized crystal structure of CdAu2O (PBE).

Properties
As for the space group: I-42d (122). The value obtained for the distance to the lowest polymorph of the same formula is 0 meV/atom. For the density of states at the Fermi level, the calculation gives 0.80 states/eV/cell.

Cell lengths 5.1955, 5.1955, 7.5134 Å; angles 69.77, 69.77, 90.00 degrees
Last column: nearest neighbours and their distance in Å.
Positions (direct):
Cd: 0.0000 0.0000 0.0000  4 Au 2.87
Cd: 0.7500 0.2500 0.5000  4 Au 2.87
Au: 0.3750 0.5044 0.7500  2 O 2.18
Au: 0.4956 0.1250 0.2500  2 O 2.18
Au: 0.8750 0.7456 0.7500  2 O 2.18
Au: 0.2544 0.6250 0.2500  2 O 2.18
O: 0.2500 0.7500 0.5000  4 Au 2.18
O: 0.5000 0.5000 0.0000  4 Au 2.18

Entry from Alexandria via LeMat-Bulk: an optimized crystal structure of CdAuO (PBE).

Properties
As for the space group: R-3m (166). For the density of states at the Fermi level, the calculation gives 0.24 states/eV/cell.

Cell lengths 3.8056, 3.8056, 8.7621 Å; angles 77.46, 77.46, 60.00 degrees
Last column: nearest neighbours and their distance in Å.
Positions (direct):
Au: 0.8651 0.8651 0.4047  3 Au 2.73, 3 Cd 3.04
Au: 0.1349 0.1349 0.5953  3 Au 2.73, 3 Cd 3.04
Cd: 0.3855 0.3855 0.8434  4 O 2.21-2.44
Cd: 0.6145 0.6145 0.1566  4 O 2.21-2.44
O: 0.2898 0.2898 0.1306  4 Cd 2.21-2.44
O: 0.7102 0.7102 0.8694  4 Cd 2.21-2.44

Entry from Alexandria via LeMat-Bulk: an optimized crystal structure of CdAuO3 (PBE).

Properties
As for the space group: Cmce (64). For the density of states at the Fermi level, the calculation gives 10.03 states/eV/cell.

Cell lengths 5.3672, 7.3730, 7.3730 Å; angles 87.30, 90.00, 90.00 degrees
Last column: nearest neighbours and their distance in Å.
Positions (direct):
O: 0.0000 0.1259 0.6259  2 Au 2.07
O: 0.5923 0.3209 0.4503  1 Au 1.95
O: 0.0923 0.4503 0.3209  1 Au 1.95
O: 0.0922 0.1791 0.0499  1 Au 1.95
O: 0.4077 0.6791 0.5497  1 Au 1.95
O: 0.5922 0.0499 0.1791  1 Au 1.95
O: 0.4078 0.9501 0.8209  1 Au 1.95
O: 0.9078 0.8209 0.9501  1 Au 1.95
O: 0.5000 0.6259 0.1259  2 Au 2.07
O: 0.9077 0.5497 0.6791  1 Au 1.95
O: 0.0000 0.8741 0.3741  2 Au 2.07
O: 0.5000 0.3741 0.8741  2 Au 2.07
Au: 0.2800 0.3975 0.1025  4 O 1.95-2.07
Au: 0.7200 0.6025 0.8975  4 O 1.95-2.07
Au: 0.7800 0.1025 0.3975  4 O 1.95-2.07
Au: 0.2200 0.8975 0.6025  4 O 1.95-2.07
Cd: 0.2500 0.3879 0.6121  6 O 2.26-2.35
Cd: 0.7500 0.1121 0.8879  6 O 2.26-2.35
Cd: 0.2500 0.8879 0.1121  6 O 2.26-2.35
Cd: 0.7500 0.6121 0.3879  6 O 2.26-2.35

Entry from Alexandria via LeMat-Bulk: an optimized crystal structure of CdP2AuO (PBE).

Properties
As for the space group: P4/mmm (123). The value obtained for the distance to the lowest polymorph of the same formula is 295 meV/atom. For the density of states at the Fermi level, the calculation gives 4.69 states/eV/cell.

Cell lengths 5.0507, 5.0507, 3.9654 Å; angles 90.00, 90.00, 90.00 degrees
Last column: nearest neighbours and their distance in Å.
Positions (direct):
O: 0.0000 0.0000 0.5000  2 Cd 1.98
P: 0.0000 0.5000 0.0000  2 Cd 2.53
P: 0.5000 0.0000 0.0000  2 Cd 2.53
Au: 0.5000 0.5000 0.5000  8 P 3.21, 4 O 3.57
Cd: 0.0000 0.0000 0.0000  2 O 1.98

Entry from Alexandria via LeMat-Bulk: an optimized crystal structure of Cd2PAuO (PBE).

Properties
As for the space group: P4/mmm (123). For the density of states at the Fermi level, the calculation gives 2.04 states/eV/cell.

Cell lengths 5.0128, 4.5584, 5.0128 Å; angles 90.00, 90.00, 90.00 degrees
Last column: nearest neighbours and their distance in Å.
Positions (direct):
O: 0.5000 0.5000 0.5000  8 Cd 3.39, 4 Au 3.54
Au: 0.0000 0.5000 0.0000  2 P 2.28
P: 0.0000 0.0000 0.0000  2 Au 2.28, 4 Cd 2.51
Cd: 0.5000 0.0000 0.0000  2 P 2.51
Cd: 0.0000 0.0000 0.5000  2 P 2.51

Entry from Alexandria via LeMat-Bulk: an optimized crystal structure of CdP2AuO (PBE).

Properties
As for the space group: P4/mmm (123). The value obtained for the distance to the lowest polymorph of the same formula is 0 meV/atom. For the density of states at the Fermi level, the calculation gives 5.13 states/eV/cell.

Cell lengths 4.9759, 4.9759, 3.9564 Å; angles 90.00, 90.00, 90.00 degrees
Last column: nearest neighbours and their distance in Å.
Positions (direct):
Cd: 0.5000 0.5000 0.5000  8 P 3.18, 4 O 3.52
Au: 0.0000 0.0000 0.0000  2 O 1.98
P: 0.5000 0.0000 0.0000  2 Au 2.49
P: 0.0000 0.5000 0.0000  2 Au 2.49
O: 0.0000 0.0000 0.5000  2 Au 1.98

Entry from Alexandria via LeMat-Bulk: an optimized crystal structure of PaCdAuO5 (PBE).

Properties
As for the space group: C2/c (15).

Cell lengths 5.8573, 5.8573, 9.2466 Å; angles 105.31, 105.31, 108.64 degrees
Last column: nearest neighbours and their distance in Å.
Positions (direct):
Au: 0.7694 0.2306 0.2500  3 O 2.05-2.08
Au: 0.2306 0.7694 0.7500  3 O 2.05-2.08
O: 0.2342 0.3868 0.6045  1 Pa 2.03
O: 0.0487 0.6199 0.8862  1 Au 2.05, 1 Cd 2.24
O: 0.3801 0.9513 0.6138  1 Au 2.05, 1 Cd 2.24
O: 0.3868 0.2342 0.1045  1 Pa 2.03
O: 0.0116 0.9884 0.7500  1 Au 2.08, 2 Pa 2.31
O: 0.7658 0.6132 0.3955  1 Pa 2.03
O: 0.6199 0.0487 0.3862  1 Au 2.05, 1 Cd 2.24
O: 0.9513 0.3801 0.1138  1 Au 2.05, 1 Cd 2.24
O: 0.6132 0.7658 0.8955  1 Pa 2.03
O: 0.9884 0.0116 0.2500  1 Au 2.08, 2 Pa 2.31
Cd: 0.3795 0.6205 0.2500  4 O 2.24-2.33
Cd: 0.6205 0.3795 0.7500  4 O 2.24-2.33
Pa: 0.0000 0.0000 0.0000  2 O 2.03
Pa: 0.0000 0.0000 0.5000  2 O 2.03

Entry from Alexandria via LeMat-Bulk: an optimized crystal structure of PaCdAu2O6 (PBE).

Properties
As for the space group: C2/c (15). For the density of states at the Fermi level, the calculation gives 10.35 states/eV/cell.

Cell lengths 5.5960, 7.4002, 7.4002 Å; angles 71.85, 79.52, 79.52 degrees
Last column: nearest neighbours and their distance in Å.
Positions (direct):
Au: 0.8587 0.1540 0.3689  3 O 2.00-2.18
Au: 0.6413 0.6311 0.8460  3 O 2.00-2.18
Au: 0.3587 0.3689 0.1540  3 O 2.00-2.18
Au: 0.1413 0.8460 0.6311  3 O 2.00-2.18
Cd: 0.7500 0.1119 0.8881  6 O 2.30-2.41
Cd: 0.2500 0.8881 0.1119  6 O 2.30-2.41
Pa: 0.7500 0.6552 0.3448  8 O 2.21-2.42
Pa: 0.2500 0.3448 0.6552  8 O 2.21-2.42
O: 0.0718 0.6137 0.1315  1 Au 2.18, 1 Pa 2.21, 1 Cd 2.37
O: 0.5718 0.1315 0.6137  1 Au 2.18, 1 Pa 2.21, 1 Cd 2.37
O: 0.9282 0.3863 0.8685  1 Au 2.18, 1 Pa 2.21, 1 Cd 2.37
O: 0.9658 0.3401 0.4812  1 Au 2.04, 1 Pa 2.23
O: 0.1557 0.0204 0.7873  1 Au 2.00
O: 0.4658 0.4812 0.3401  1 Au 2.04, 1 Pa 2.23
O: 0.0342 0.6599 0.5188  1 Au 2.04, 1 Pa 2.23
O: 0.3443 0.2127 0.9796  1 Au 2.00
O: 0.8443 0.9796 0.2127  1 Au 2.00
O: 0.4282 0.8685 0.3863  1 Au 2.18, 1 Pa 2.21, 1 Cd 2.37
O: 0.6557 0.7873 0.0204  1 Au 2.00
O: 0.5342 0.5188 0.6599  1 Au 2.04, 1 Pa 2.23

The total magnetization results, record by record, are as follows: 0.0 0.0 0.0 0.0 1.0 1.0 0.0 0.3 0.0 0.0 μB per formula unit.
The energy relative to the elements, uncorrected results, record by record, are as follows: -1.1 2.3 0.8 -1.1 -1.6 5.1 2.1 3.6 -12.7 -12.0 eV per formula unit.